1.
La4SbC: optimized geometry, GGA-PBE.

```
La4SbC
1.0
-4.084 -4.787 0.217
2.028 -1.397 7.246
-3.786 7.373 -0.050
La Sb C
8 2 2
Direct
0.497 0.046 0.810
0.687 0.455 0.190
0.503 0.954 0.190
0.313 0.545 0.810
0.879 0.829 0.631
0.247 0.672 0.368
0.121 0.171 0.369
0.753 0.328 0.632
0.873 0.750 0.000
0.127 0.250 0.000
0.500 0.000 0.500
0.000 0.500 0.500
```

Values from the calculation:
Theoretical density   6.53 g/cm3
Uncorrected energy   -5.912 eV per atom
ΔE_f (raw)   -403 meV/atom
Space-group type   No. 15

2.
VI2Br: optimized geometry, GGA-PBE.

```
VI2Br
1.0
-9.819 -2.056 -0.668
0.926 -1.190 -9.940
-3.934 -4.186 -4.950
I Br V
4 2 2
Direct
0.479 0.125 0.250
0.271 0.625 0.250
0.375 0.521 0.750
0.875 0.729 0.750
0.000 0.000 0.000
0.750 0.250 0.500
0.500 0.500 0.000
0.250 0.750 0.500
```

Values from the calculation:
Theoretical density   4.79 g/cm3
Uncorrected energy   -3.761 eV per atom
E above lowest polymorph   264 meV/atom
ΔE_f (raw)   -288 meV/atom
Space-group type   No. 122

3.
NiBi3P: optimized geometry, GGA-PBE.

```
NiBi3P
1.0
-2.775 -1.155 4.415
2.966 -4.384 0.717
3.468 2.824 2.919
Ni Bi P
1 3 1
Direct
0.500 0.500 0.500
0.000 0.500 0.000
0.000 0.000 0.500
0.500 0.000 0.000
0.000 0.000 0.000
```

Values from the calculation:
Theoretical density   7.81 g/cm3
Uncorrected energy   -3.604 eV per atom
E above lowest polymorph   404 meV/atom
Space-group type   No. 221
ΔE_f   962.6 meV per atom

4.
Ge2Rh2Se: optimized geometry, GGA-PBE.

```
Ge2Rh2Se
1.0
7.404 0.000 0.000
0.000 7.404 0.000
0.000 0.000 2.929
Ge Rh Se
4 4 2
Direct
0.148 0.648 0.500
0.648 0.852 0.500
0.852 0.352 0.500
0.352 0.148 0.500
0.355 0.855 0.000
0.855 0.645 0.000
0.645 0.145 0.000
0.145 0.355 0.000
0.000 0.000 0.000
0.500 0.500 0.000
```

Values from the calculation:
Theoretical density   8.90 g/cm3
Uncorrected energy   -5.717 eV per atom
E above lowest polymorph   0 meV/atom
ΔE_f (raw)   -232 meV/atom
Space-group type   No. 127

5.
Tm2MgRe: optimized geometry, GGA-PBE.

```
Tm2MgRe
1.0
-2.915 -0.232 0.880
-0.669 -0.757 2.882
-1.197 10.626 4.130
Re Mg Tm
1 1 2
Direct
0.000 0.000 0.000
0.500 0.500 0.500
0.081 0.081 0.758
0.919 0.919 0.242
```

Values from the calculation:
Theoretical density   9.95 g/cm3
Uncorrected energy   -5.059 eV per atom
E above lowest polymorph   687 meV/atom
Space-group type   No. 166
ΔE_f   687.1 meV per atom

6.
SrClF3: optimized geometry, GGA-PBE.

```
SrClF3
1.0
4.534 0.000 0.000
0.000 4.534 0.000
0.000 0.000 4.534
Sr F Cl
1 3 1
Direct
0.500 0.500 0.500
0.000 0.500 0.000
0.000 0.000 0.500
0.500 0.000 0.000
0.000 0.000 0.000
```

Values from the calculation:
Theoretical density   3.21 g/cm3
Uncorrected energy   -3.473 eV per atom
E above lowest polymorph   816 meV/atom
ΔE_f (raw)   -1644 meV/atom
Space-group type   No. 221

7.
NaMgSi2Tc: optimized geometry, GGA-PBE.

```
NaMgSi2Tc
1.0
4.658 0.000 0.000
0.000 4.658 0.000
0.000 0.000 5.082
Mg Na Si Tc
1 1 2 1
Direct
0.000 0.000 0.500
0.500 0.500 0.500
0.000 0.500 0.000
0.500 0.000 0.000
0.000 0.000 0.000
```

Values from the calculation:
Theoretical density   3.03 g/cm3
Uncorrected energy   -4.783 eV per atom
ΔE_f (raw)   42 meV/atom
Space-group type   No. 123

8.
PuTl2Br6: optimized geometry, GGA-PBE.

```
PuTl2Br6
1.0
-5.097 5.550 -1.291
-5.187 -5.570 -3.468
-4.121 -2.162 9.636
Pu Tl Br
2 4 12
Direct
0.500 0.500 0.000
0.000 0.000 0.500
0.975 0.410 0.757
0.525 0.910 0.743
0.475 0.090 0.257
0.025 0.590 0.243
0.896 0.974 0.250
0.826 0.719 0.550
0.799 0.676 0.954
0.701 0.176 0.546
0.674 0.219 0.950
0.604 0.474 0.250
0.104 0.026 0.750
0.174 0.281 0.450
0.201 0.324 0.046
0.299 0.824 0.454
0.326 0.781 0.050
0.396 0.526 0.750
```

Values from the calculation:
Theoretical density   5.50 g/cm3
Uncorrected energy   -4.375 eV per atom
E above lowest polymorph   0 meV/atom
ΔE_f (raw)   -1142 meV/atom
Space-group type   No. 14

9.
Sr5Mg3: optimized geometry, GGA-PBE.

```
Sr5Mg3
1.0
-1.781 1.934 3.237
2.602 -1.961 2.603
12.395 14.224 -1.678
Sr Mg
5 3
Direct
0.000 0.000 0.222
0.500 0.500 0.611
0.500 0.500 0.389
0.000 0.000 0.778
0.000 0.000 0.000
0.500 0.500 0.112
0.500 0.500 0.888
0.000 0.000 0.500
```

Values from the calculation:
Theoretical density   2.58 g/cm3
Uncorrected energy   -1.693 eV per atom
E above lowest polymorph   0 meV/atom
Space-group type   No. 123
ΔE_f   -44.3 meV per atom

10.
ThVFeP2: optimized geometry, GGA-PBE.

```
ThVFeP2
1.0
3.786 0.000 0.000
0.000 3.786 0.000
-1.893 -1.893 5.768
Th V Fe P
1 1 1 2
Direct
0.000 0.000 0.000
0.250 0.750 0.500
0.750 0.250 0.500
0.633 0.633 0.266
0.367 0.367 0.734
```

Values from the calculation:
Theoretical density   8.05 g/cm3
Uncorrected energy   -8.067 eV per atom
Space-group type   No. 119
ΔE_f   -903.1 meV per atom

11.
ZrTi2TlC: optimized geometry, GGA-PBE.

```
ZrTi2TlC
1.0
-3.346 2.531 -0.871
-2.473 -3.456 -0.547
-1.098 0.081 4.453
Tl C Zr Ti
1 1 1 2
Direct
0.500 0.500 0.500
0.000 0.000 0.000
0.000 0.000 0.500
0.000 0.500 0.000
0.500 0.000 0.000
```

Values from the calculation:
Theoretical density   7.95 g/cm3
Uncorrected energy   -7.605 eV per atom
Space-group type   No. 123
ΔE_f   -419.4 meV per atom

12.
CrPb2Au2: optimized geometry, GGA-PBE.

```
CrPb2Au2
1.0
-1.500 -0.642 -4.185
1.833 -4.101 -0.028
-5.360 -4.858 0.255
Pb Cr Au
2 1 2
Direct
0.750 0.250 0.500
0.250 0.750 0.500
0.000 0.000 0.000
0.400 0.400 0.200
0.600 0.600 0.800
```

Values from the calculation:
Theoretical density   10.89 g/cm3
Uncorrected energy   -4.242 eV per atom
E above lowest polymorph   291 meV/atom
Space-group type   No. 139
ΔE_f   476.6 meV per atom

13.
LiLuSnPt: optimized geometry, GGA-PBE.

```
LiLuSnPt
1.0
-0.801 1.977 -4.188
1.886 -1.868 -3.879
-2.745 -2.171 -3.137
Lu Sn Pt Li
1 1 1 1
Direct
0.000 0.000 0.000
0.500 0.500 0.500
0.750 0.750 0.750
0.250 0.250 0.250
```

Values from the calculation:
Theoretical density   11.21 g/cm3
Uncorrected energy   -5.042 eV per atom
Space-group type   No. 216
ΔE_f   -922.2 meV per atom

14.
ZnNi8Rh2: optimized geometry, GGA-PBE.

```
ZnNi8Rh2
1.0
-2.355 -1.445 -3.377
1.820 -3.351 -5.365
-0.121 -7.106 0.360
Zn Ni Rh
1 8 2
Direct
0.500 0.000 0.000
0.764 0.105 0.273
0.764 0.378 0.727
0.276 0.472 0.000
0.500 0.805 0.390
0.500 0.195 0.610
0.724 0.528 0.000
0.236 0.622 0.273
0.236 0.895 0.727
0.000 0.316 0.368
0.000 0.684 0.632
```

Values from the calculation:
Theoretical density   8.93 g/cm3
Uncorrected energy   -5.514 eV per atom
E above lowest polymorph   169 meV/atom
Space-group type   No. 12
ΔE_f   143.5 meV per atom

15.
Ag3MoRh: optimized geometry, GGA-PBE.

```
Ag3MoRh
1.0
4.970 0.000 0.000
0.000 4.970 0.000
0.000 0.000 4.970
Mo Rh Ag
1 1 3
Direct
0.500 0.500 0.500
0.000 0.000 0.000
0.000 0.500 0.000
0.000 0.000 0.500
0.500 0.000 0.000
```

Values from the calculation:
Theoretical density   7.07 g/cm3
Uncorrected energy   -3.763 eV per atom
E above lowest polymorph   0 meV/atom
Space-group type   No. 221
ΔE_f   1584.5 meV per atom

16.
MnAl2TlCl8: optimized geometry, GGA-PBE.

```
MnAl2TlCl8
1.0
-6.134 -1.207 -1.110
-2.592 -5.420 2.055
-5.297 2.143 8.780
Mn Al Tl Cl
1 2 1 8
Direct
0.000 0.000 0.000
0.258 0.258 0.227
0.742 0.742 0.773
0.500 0.500 0.500
0.184 0.184 0.447
0.612 0.269 0.158
0.816 0.816 0.553
0.961 0.612 0.158
0.039 0.388 0.842
0.269 0.961 0.158
0.731 0.039 0.842
0.388 0.731 0.842
```

Values from the calculation:
Theoretical density   2.89 g/cm3
Uncorrected energy   -4.005 eV per atom
ΔE_f (raw)   -1189 meV/atom
Space-group type   No. 148

17.
Se2ICl: optimized geometry, GGA-PBE.

```
Se2ICl
1.0
2.054 0.000 9.699
-1.027 1.779 9.699
-1.027 -1.779 9.699
I Se Cl
1 2 1
Direct
0.000 0.000 0.000
0.908 0.908 0.908
0.092 0.092 0.092
0.500 0.500 0.500
```

Values from the calculation:
Theoretical density   5.00 g/cm3
Uncorrected energy   -2.068 eV per atom
E above lowest polymorph   556 meV/atom
ΔE_f (raw)   524 meV/atom
Space-group type   No. 166

18.
TlPPdS2: optimized geometry, GGA-PBE.

```
TlPPdS2
1.0
5.078 0.000 0.000
0.000 5.078 0.000
0.000 0.000 4.438
P Tl S Pd
1 1 2 1
Direct
0.000 0.000 0.500
0.500 0.500 0.500
0.000 0.500 0.000
0.500 0.000 0.000
0.000 0.000 0.000
```

Values from the calculation:
Theoretical density   5.89 g/cm3
Uncorrected energy   -3.861 eV per atom
E above lowest polymorph   0 meV/atom
ΔE_f (raw)   383 meV/atom
Space-group type   No. 123

19.
ScMn2: optimized geometry, GGA-PBE.

```
ScMn2
1.0
-3.858 -0.038 -3.671
-1.846 -2.021 -4.568
-3.878 -4.919 2.178
Sc Mn
2 4
Direct
0.961 0.961 0.592
0.265 0.265 0.956
0.994 0.994 0.017
0.608 0.608 0.278
0.327 0.327 0.336
0.678 0.678 0.654
```

Values from the calculation:
Theoretical density   5.23 g/cm3
Uncorrected energy   -7.947 eV per atom
Space-group type   No. 8
ΔE_f   276.4 meV per atom

20.
TcSO: optimized geometry, GGA-PBE.

```
TcSO
1.0
6.168 0.000 0.092
0.000 2.998 0.000
-1.506 0.000 5.049
Tc S O
2 2 2
Direct
0.579 0.000 0.832
0.579 0.500 0.332
0.855 0.000 0.588
0.855 0.500 0.088
0.391 0.000 0.441
0.391 0.500 0.941
```

Values from the calculation:
Theoretical density   5.17 g/cm3
Uncorrected energy   -7.129 eV per atom
E above lowest polymorph   269 meV/atom
ΔE_f (raw)   -645 meV/atom
Space-group type   No. 8